Entry 1:
A PBEsol-optimized structure of NaIn3Mo. Source: Alexandria, functional meta-GGA SCAN.

```
5
Lattice="5.233 0.000 0.000 0.000 5.233 0.000 0.000 0.000 5.233" Properties=species:S:1:pos:R:3 pbc="T T T"
Na 0.000 0.000 0.000
In 0.000 2.617 2.617
In 2.617 0.000 2.617
In 2.617 2.617 0.000
Mo 2.617 2.617 2.617
```

energy of formation from the pure elements	0.22	eV/atom

***

Entry 2:
A PBEsol-optimized structure of Na2In2Mo5O16. Source: Alexandria, functional meta-GGA SCAN.

```
25
Lattice="5.780 0.000 0.000 -2.890 5.006 0.000 0.000 0.000 11.242" Properties=species:S:1:pos:R:3 pbc="T T T"
Na 0.000 0.000 0.000
Na 0.000 3.337 2.618
In 0.000 0.000 3.361
In 0.000 0.000 8.022
Mo -1.296 2.589 5.758
Mo 0.000 3.337 9.867
Mo 1.296 2.589 5.758
Mo 0.000 4.834 5.758
Mo 2.890 1.669 1.402
O 0.000 1.620 9.430
O -1.487 4.196 9.430
O 0.000 1.772 4.479
O -1.355 4.120 4.479
O 1.412 0.815 1.931
O 0.000 3.337 0.366
O 0.000 3.337 7.168
O 1.474 0.851 6.732
O 1.355 4.120 4.479
O 2.890 1.669 4.762
O 2.890 1.669 10.945
O 1.487 4.196 9.430
O 4.306 0.851 6.732
O 2.890 3.303 6.732
O 4.368 0.815 1.931
O 2.890 3.376 1.931
```

uncorrected formation energy	-2092.1	meV/atom

***

Entry 3:
A PBEsol-optimized structure of NaIn2MoP. Source: Alexandria, functional meta-GGA SCAN.

```
5
Lattice="5.222 0.000 0.000 0.000 5.222 0.000 0.000 0.000 5.455" Properties=species:S:1:pos:R:3 pbc="T T T"
Na 0.000 0.000 0.000
In 0.000 2.611 2.728
In 2.611 0.000 2.728
Mo 0.000 0.000 2.728
P 2.611 2.611 0.000
```

energy of formation from the pure elements	1.15	eV/atom

***

Ordered total magnetic moment results: 0.000; 0.000; 0.928; unit μB per atom.
Ordered total energy results: -138.1; -401.6; -110.5; unit eV/cell.
Ordered calculated volume results: 143.3; 325.3; 148.8; unit Å³/f.u..